1.
This record from the Alexandria database describes a relaxed ZrGeBi2 crystal. The functional is PBE.

abc: 8.2071 8.2071 8.2071
angles: 131.90 131.90 70.39
Element x y z (fractional)
Zr1 0.0000 0.0000 0.0000
Zr2 0.7500 0.2500 0.5000
Ge1 0.2500 0.7500 0.5000
Ge2 0.5000 0.5000 0.0000
Bi1 0.1259 0.6250 0.0009
Bi2 0.3750 0.3759 0.5009
Bi3 0.6241 0.1250 0.9991
Bi4 0.8750 0.8741 0.4991

- Total magnetic moment: 0.00 μB/atom
- Space-group type: I-42d
- Formation energy from the elements: 351 meV per atom

2.
This record from the Alexandria database describes a relaxed TlGeH2 crystal. The functional is PBE.

abc: 4.3085 4.3085 4.3085
angles: 60.00 60.00 60.00
Element x y z (fractional)
Tl1 0.0000 0.0000 0.0000
Ge1 0.5000 0.5000 0.5000
H1 0.2500 0.2500 0.2500
H2 0.7500 0.7500 0.7500

- Total magnetic moment: 0.00 μB/atom
- Space-group type: Fm-3m
- Relative energy among the computed polymorphs: 391 meV/atom

3.
This record from the Alexandria database describes a relaxed AlTl2Ir crystal. The functional is PBE.

abc: 3.1578 3.1578 8.6243
angles: 90.00 90.00 90.00
Element x y z (fractional)
Al1 0.0000 0.0000 0.0000
Tl1 0.5000 0.5000 0.2818
Tl2 0.5000 0.5000 0.7182
Ir1 0.0000 0.0000 0.5000

- Total magnetic moment: 0.00 μB/atom
- Space-group type: P4/mmm
- Formation energy from the elements: 472 meV per atom
- Relative energy among the computed polymorphs: 539 meV/atom

4.
This record from the Alexandria database describes a relaxed Ca2Sn4Pt3Rh crystal. The functional is PBE.

abc: 4.3807 4.3807 11.5902
angles: 90.00 90.00 90.00
Element x y z (fractional)
Ca1 0.0000 0.5000 0.2489
Ca2 0.5000 0.0000 0.7511
Sn1 0.0000 0.0000 0.5000
Sn2 0.0000 0.5000 0.8683
Sn3 0.5000 0.0000 0.1317
Sn4 0.5000 0.5000 0.5000
Pt1 0.0000 0.0000 0.0000
Pt2 0.0000 0.5000 0.6419
Pt3 0.5000 0.0000 0.3581
Rh1 0.5000 0.5000 0.0000

- Total magnetic moment: 0.00 μB/atom
- Space-group type: P-4m2
- Formation energy from the elements: -722 meV per atom

5.
This record from the Alexandria database describes a relaxed KGaC crystal. The functional is PBE.

abc: 6.1557 6.1557 5.7001
angles: 92.82 92.82 54.21
Element x y z (fractional)
K1 0.1980 0.1980 0.2628
K2 0.8020 0.8020 0.7372
Ga1 0.5000 0.5000 0.0000
Ga2 0.5000 0.5000 0.5000
C1 0.3898 0.3898 0.7382
C2 0.6102 0.6102 0.2618

- Total magnetic moment: 0.00 μB/atom
- Space-group type: C2/m
- Formation energy from the elements: 621 meV per atom

6.
This record from the Alexandria database describes a relaxed La5AsS5 crystal. The functional is PBE.

abc: 7.2782 7.2782 8.4376
angles: 106.88 106.88 48.02
Element x y z (fractional)
La1 0.0000 0.0000 0.0000
La2 0.3334 0.3334 0.6613
La3 0.3387 0.3387 0.1769
La4 0.6613 0.6613 0.8231
La5 0.6666 0.6666 0.3387
As1 0.5000 0.5000 0.0000
S1 0.1709 0.1709 0.3298
S2 0.1747 0.1747 0.8463
S3 0.5000 0.5000 0.5000
S4 0.8253 0.8253 0.1537
S5 0.8291 0.8291 0.6702

- Total magnetic moment: 0.00 μB/atom
- E_form (uncorrected): -2.0413 eV per atom
- Space-group type: C2/m

7.
This record from the Alexandria database describes a relaxed KAsRh2 crystal. The functional is PBE.

abc: 5.5744 5.5744 5.5744
angles: 145.16 119.11 72.10
Element x y z (fractional)
K1 0.0000 0.0000 0.0000
As1 0.5000 0.5000 0.0000
Rh1 0.3172 0.8172 0.5000
Rh2 0.6828 0.1829 0.5000

- Total magnetic moment: 0.00 μB/atom
- Space-group type: Immm
- Formation energy from the elements: 207 meV per atom

8.
This record from the Alexandria database describes a relaxed SmYSiRh crystal. The functional is PBE.

abc: 4.1057 5.6407 5.6407
angles: 43.91 90.00 90.00
Element x y z (fractional)
Sm1 0.0000 0.0000 0.0000
Y1 0.5000 0.2822 0.2822
Si1 0.5000 0.5778 0.5778
Rh1 0.0000 0.7172 0.7172

- Total magnetic moment: 0.00 μB/atom
- E_form (uncorrected): -0.8150 eV per atom
- Space-group type: Amm2

9.
This record from the Alexandria database describes a relaxed TaPdI2N crystal. The functional is PBE.

abc: 5.7089 5.7089 3.6693
angles: 90.00 90.00 90.00
Element x y z (fractional)
Ta1 0.0000 0.0000 0.0000
Pd1 0.5000 0.5000 0.5000
I1 0.0000 0.5000 0.5000
I2 0.5000 0.0000 0.5000
N1 0.5000 0.5000 0.0000

- Total magnetic moment: 0.52 μB/atom
- E_form (uncorrected): 1.2813 eV per atom
- Space-group type: P4/mmm
- Relative energy among the computed polymorphs: 958 meV/atom

10.
This record from the Alexandria database describes a relaxed LiTl2Ag crystal. The functional is PBE.

abc: 3.3896 4.8132 5.7933
angles: 90.00 105.26 90.00
Element x y z (fractional)
Li1 0.0000 0.0000 0.0000
Tl1 0.2781 0.0000 0.5313
Tl2 0.5926 0.5000 0.1884
Ag1 0.8715 0.5000 0.7332

- Total magnetic moment: 0.00 μB/atom
- Space-group type: Pm
- Formation energy from the elements: -44 meV per atom
- Relative energy among the computed polymorphs: 17 meV/atom

11.
This record from the Alexandria database describes a relaxed NpCu2Te3 crystal. The functional is PBE.

abc: 6.9799 4.1073 11.5446
angles: 90.00 99.48 90.00
Element x y z (fractional)
Np1 0.1725 0.2500 0.3215
Np2 0.8275 0.7500 0.6785
Cu1 0.0413 0.7500 0.0804
Cu2 0.4630 0.2500 0.5706
Cu3 0.5370 0.7500 0.4294
Cu4 0.9587 0.2500 0.9196
Te1 0.1658 0.7500 0.8756
Te2 0.2206 0.7500 0.5371
Te3 0.3984 0.7500 0.2044
Te4 0.6016 0.2500 0.7956
Te5 0.7794 0.2500 0.4629
Te6 0.8342 0.2500 0.1244

- Total magnetic moment: 0.55 μB/atom
- E_form (uncorrected): -0.2946 eV per atom
- Space-group type: P2_1/m
- Relative energy among the computed polymorphs: 8 meV/atom

12.
This record from the Alexandria database describes a relaxed LiZnAg14 crystal. The functional is PBE.

abc: 9.4126 5.8362 5.8362
angles: 60.99 90.00 90.00
Element x y z (fractional)
Li1 0.0000 0.0000 0.0000
Zn1 0.0000 0.5005 0.5005
Ag1 0.0000 0.0003 0.5032
Ag2 0.0000 0.5032 0.0003
Ag3 0.2424 0.3282 0.8290
Ag4 0.2424 0.8290 0.3282
Ag5 0.2455 0.3312 0.3312
Ag6 0.2495 0.8313 0.8313
Ag7 0.5000 0.1604 0.1604
Ag8 0.5000 0.1626 0.6602
Ag9 0.5000 0.6602 0.1626
Ag10 0.5000 0.6599 0.6599
Ag11 0.7505 0.8313 0.8313
Ag12 0.7545 0.3312 0.3312
Ag13 0.7576 0.3282 0.8290
Ag14 0.7576 0.8290 0.3282

- Total magnetic moment: 0.00 μB/atom
- Space-group type: Amm2
- Formation energy from the elements: -22 meV per atom

What did the sixth record say?
This record from the Alexandria database describes a relaxed La5AsS5 crystal. The functional is PBE.

abc: 7.2782 7.2782 8.4376
angles: 106.88 106.88 48.02
Element x y z (fractional)
La1 0.0000 0.0000 0.0000
La2 0.3334 0.3334 0.6613
La3 0.3387 0.3387 0.1769
La4 0.6613 0.6613 0.8231
La5 0.6666 0.6666 0.3387
As1 0.5000 0.5000 0.0000
S1 0.1709 0.1709 0.3298
S2 0.1747 0.1747 0.8463
S3 0.5000 0.5000 0.5000
S4 0.8253 0.8253 0.1537
S5 0.8291 0.8291 0.6702

- Total magnetic moment: 0.00 μB/atom
- E_form (uncorrected): -2.0413 eV per atom
- Space-group type: C2/m